PmZn2Pt5 | the Alexandria database | GGA-PBE | optimized geometry; ΔE_f = -587 meV/atom; size of the total moment = 0.0 Bohr magnetons per cell; V = 17.70 A^3/atom
1.0
-1.9420 3.5836 5.0877
1.9420 -3.5836 5.0877
1.9420 3.5836 -5.0877
Pm Zn Pt
1 2 5
direct
0.0000 0.0000 0.0000
0.2538 0.7538 0.5000
0.7462 0.2462 0.5000
0.1616 0.3609 0.8007
0.4398 0.6391 0.8007
0.5000 0.0000 0.5000
0.5602 0.3609 0.1993
0.8384 0.6391 0.1993